A plane-wave DFT calculation with PBE was carried out for an optimized crystal structure of Mg6TiAl.

POSCAR file:
```
Mg6TiAl
1.0
4.9730 0.0000 0.0000
0.0000 3.0197 5.5020
0.0000 -3.0197 5.5020
Mg Ti Al
6 1 1
Direct
0.0000 0.0000 0.0000
0.0000 0.0013 0.5110
0.0000 0.4988 0.4988
0.0000 0.5110 0.0013
0.5000 0.3432 0.8442
0.5000 0.8442 0.3432
0.5000 0.8457 0.8457
0.5000 0.3416 0.3416
```

Computed properties:
Energy of formation from the pure elements in eV per atom: 0.06
DOS(E_F) in states/eV/cell: 4.27


A plane-wave DFT calculation with PBE was carried out for an optimized crystal structure of MgTi2Al2.

POSCAR file:
```
MgTi2Al2
1.0
7.8941 0.0000 0.0000
0.0000 7.8941 0.0000
0.0000 0.0000 2.9322
Mg Ti Al
2 4 4
Direct
0.0000 0.0000 0.0000
0.5000 0.5000 0.0000
0.1174 0.3826 0.0000
0.3826 0.8826 0.0000
0.6174 0.1174 0.0000
0.8826 0.6174 0.0000
0.1807 0.6807 0.5000
0.3193 0.1807 0.5000
0.6807 0.8193 0.5000
0.8193 0.3193 0.5000
```

Computed properties:
Energy of formation from the pure elements in eV per atom: -0.07
DOS(E_F) in states/eV/cell: 9.50


A plane-wave DFT calculation with PBE was carried out for an optimized crystal structure of Mg6TiAl.

POSCAR file:
```
Mg6TiAl
1.0
4.8676 0.0000 0.0000
0.0000 3.1331 5.4522
0.0000 -3.1331 5.4522
Mg Ti Al
6 1 1
Direct
0.0000 0.0000 0.0000
0.0000 0.0081 0.4978
0.0000 0.4978 0.0081
0.5000 0.3399 0.8328
0.5000 0.8328 0.3399
0.5000 0.8356 0.8356
0.5000 0.3444 0.3444
0.0000 0.4872 0.4872
```

Computed properties:
Energy of formation from the pure elements in eV per atom: 0.06
DOS(E_F) in states/eV/cell: 5.51


A plane-wave DFT calculation with PBE was carried out for an optimized crystal structure of TmMgTiAl.

POSCAR file:
```
TmMgTiAl
1.0
0.0000 3.4409 3.4409
3.4409 0.0000 3.4409
3.4409 3.4409 0.0000
Tm Mg Ti Al
1 1 1 1
Direct
0.0000 0.0000 0.0000
0.7500 0.7500 0.7500
0.5000 0.5000 0.5000
0.2500 0.2500 0.2500
```

Computed properties:
Energy of formation from the pure elements in eV per atom: -0.09
DOS(E_F) in states/eV/cell: 3.55


A plane-wave DFT calculation with PBE was carried out for an optimized crystal structure of MgTi2AlV.

POSCAR file:
```
MgTi2AlV
1.0
4.4617 0.0000 0.0000
0.0000 4.4617 0.0000
0.0000 0.0000 5.0096
Mg Ti Al V
1 2 1 1
Direct
0.0000 0.0000 0.0000
0.0000 0.5000 0.5000
0.5000 0.0000 0.5000
0.5000 0.5000 0.0000
0.0000 0.0000 0.5000
```

Computed properties:
Energy of formation from the pure elements in eV per atom: 0.69
DOS(E_F) in states/eV/cell: 5.54


A plane-wave DFT calculation with PBE was carried out for an optimized crystal structure of Mg2Al2Tl.

POSCAR file:
```
Mg2Al2Tl
1.0
8.6456 0.0000 0.0000
0.0000 8.6456 0.0000
0.0000 0.0000 3.0361
Mg Al Tl
4 4 2
Direct
0.1292 0.3708 0.0000
0.3708 0.8708 0.0000
0.6292 0.1292 0.0000
0.8708 0.6292 0.0000
0.1671 0.6671 0.5000
0.3329 0.1671 0.5000
0.6671 0.8329 0.5000
0.8329 0.3329 0.5000
0.0000 0.0000 0.0000
0.5000 0.5000 0.0000
```

Computed properties:
Energy of formation from the pure elements in eV per atom: 0.14
DOS(E_F) in states/eV/cell: 4.14


A plane-wave DFT calculation with PBE was carried out for an optimized crystal structure of MgAlTl.

POSCAR file:
```
MgAlTl
1.0
6.1009 0.0000 0.0000
0.0000 4.5784 0.0000
0.0000 0.0000 9.7566
Mg Al Tl
4 4 4
Direct
0.1402 0.2500 0.0858
0.3598 0.7500 0.5858
0.6402 0.2500 0.4142
0.8598 0.7500 0.9142
0.1038 0.2500 0.7556
0.3962 0.7500 0.2556
0.6038 0.2500 0.7444
0.8962 0.7500 0.2444
0.1435 0.2500 0.4081
0.3565 0.7500 0.9081
0.6435 0.2500 0.0919
0.8565 0.7500 0.5919
```

Computed properties:
Energy of formation from the pure elements in eV per atom: 0.15
DOS(E_F) in states/eV/cell: 4.96


A plane-wave DFT calculation with PBE was carried out for an optimized crystal structure of Mg2Al2Tl.

POSCAR file:
```
Mg2Al2Tl
1.0
8.4393 0.0000 0.0000
0.0000 8.4393 0.0000
0.0000 0.0000 3.1042
Mg Al Tl
4 4 2
Direct
0.1822 0.3178 0.0000
0.3178 0.8178 0.0000
0.6822 0.1822 0.0000
0.8178 0.6822 0.0000
0.1127 0.6127 0.5000
0.3873 0.1127 0.5000
0.6127 0.8873 0.5000
0.8873 0.3873 0.5000
0.0000 0.0000 0.5000
0.5000 0.5000 0.5000
```

Computed properties:
Energy of formation from the pure elements in eV per atom: 0.07
DOS(E_F) in states/eV/cell: 4.00


A plane-wave DFT calculation with PBE was carried out for an optimized crystal structure of Mg6AlTl2.

POSCAR file:
```
Mg6AlTl2
1.0
8.3495 0.0000 0.0000
-4.1747 7.2309 0.0000
0.0000 0.0000 3.3880
Mg Al Tl
6 1 2
Direct
0.0000 0.3605 0.0000
0.0000 0.7210 0.5000
0.2790 0.2790 0.5000
0.3605 0.0000 0.0000
0.6395 0.6395 0.0000
0.7210 0.0000 0.5000
0.0000 0.0000 0.0000
0.3333 0.6667 0.5000
0.6667 0.3333 0.5000
```

Computed properties:
Energy of formation from the pure elements in eV per atom: -0.03
DOS(E_F) in states/eV/cell: 3.51


A plane-wave DFT calculation with PBE was carried out for an optimized crystal structure of Mg6AlTl3.

POSCAR file:
```
Mg6AlTl3
1.0
3.3179 0.0000 0.0000
-1.6589 2.8734 0.0000
0.0000 0.0000 25.1859
Mg Al Tl
6 1 3
Direct
0.3333 0.6667 0.1020
0.3333 0.6667 0.4074
0.3333 0.6667 0.7973
0.6667 0.3333 0.2027
0.6667 0.3333 0.5926
0.6667 0.3333 0.8980
0.0000 0.0000 0.5000
0.0000 0.0000 0.0000
0.0000 0.0000 0.3054
0.0000 0.0000 0.6946
```

Computed properties:
Energy of formation from the pure elements in eV per atom: 0.03
DOS(E_F) in states/eV/cell: 4.62


A plane-wave DFT calculation with PBE was carried out for an optimized crystal structure of Mg16Al12Tl.

POSCAR file:
```
Mg16Al12Tl
1.0
7.4652 4.3100 3.0628
-7.4652 4.3100 3.0628
0.0000 -8.6200 3.0628
Mg Al Tl
16 12 1
Direct
0.0000 0.0000 0.0000
0.9999 0.4007 0.6813
0.9999 0.6813 0.4007
0.2910 0.6040 0.6040
0.3138 0.3138 0.7123
0.3138 0.7123 0.3138
0.4007 0.9999 0.6813
0.4007 0.6813 0.9999
0.6040 0.2910 0.6040
0.6040 0.6040 0.2910
0.6537 0.9992 0.9992
0.6813 0.9999 0.4007
0.6813 0.4007 0.9999
0.7123 0.3138 0.3138
0.9992 0.6537 0.9992
0.9992 0.9992 0.6537
0.1803 0.3646 0.9917
0.1803 0.9917 0.3646
0.1846 0.8142 0.8142
0.3646 0.1803 0.9917
0.3646 0.9917 0.1803
0.6385 0.6385 0.8257
0.6385 0.8257 0.6385
0.8142 0.1846 0.8142
0.8142 0.8142 0.1846
0.8257 0.6385 0.6385
0.9917 0.1803 0.3646
0.9917 0.3646 0.1803
0.3447 0.3447 0.3447
```

Computed properties:
Energy of formation from the pure elements in eV per atom: -0.02
DOS(E_F) in states/eV/cell: 6.93


A plane-wave DFT calculation with PBE was carried out for an optimized crystal structure of Mg3AlTl.

POSCAR file:
```
Mg3AlTl
1.0
5.3211 0.0000 0.0000
0.0000 5.3211 0.0000
0.0000 0.0000 5.3211
Mg Al Tl
3 1 1
Direct
0.0000 0.0000 0.5000
0.0000 0.5000 0.0000
0.5000 0.0000 0.0000
0.5000 0.5000 0.5000
0.0000 0.0000 0.0000
```

Computed properties:
Energy of formation from the pure elements in eV per atom: 0.51
DOS(E_F) in states/eV/cell: 2.86


Number 1: magnetization 0.000 μB/atom. Number 2: magnetization 0.050 μB/atom. Number 3: magnetization 0.000 μB/atom. Number 4: magnetization 0.001 μB/atom. Number 5: magnetization 0.000 μB/atom. Number 6: magnetization 0.000 μB/atom. Number 7: magnetization 0.000 μB/atom. Number 8: magnetization 0.000 μB/atom. Number 9: magnetization 0.000 μB/atom. Number 10: magnetization 0.000 μB/atom. Number 11: magnetization 0.000 μB/atom. Number 12: magnetization 0.000 μB/atom.